DFT (GGA-PBE) results for CrCuW after structural relaxation.

Output
Space group: P3m1, No. 156
Offset from the most stable computed form (meV per atom): 20.6
Formation energy (kJ/mol of formula units): 98.4

Lattice parameters (Å, degrees): 4.287 4.287 2.542 90.00 90.00 120.00
Atoms (fractional coordinates):
Cr 0.000 0.000 0.008
Cu 0.667 0.333 0.298
W 0.333 0.667 0.694



DFT (GGA-PBE) results for Cr2CuW after structural relaxation.

Output
Space group: Immm, No. 71
Offset from the most stable computed form (meV per atom): 101.4
Formation energy (kJ/mol of formula units): 133.3

Lattice parameters (Å, degrees): 4.803 4.803 4.803 142.09 128.89 65.37
Atoms (fractional coordinates):
Cr 0.007 0.007 0.000
Cr 0.493 0.493 0.000
Cu 0.750 0.250 0.500
W 0.250 0.750 0.500



DFT (GGA-PBE) results for Cr2CuW after structural relaxation.

Output
Space group: P2/m, No. 10
Offset from the most stable computed form (meV per atom): 64.6
Formation energy (kJ/mol of formula units): 119.2

Lattice parameters (Å, degrees): 4.229 2.537 4.927 81.34 90.00 90.00
Atoms (fractional coordinates):
Cr 0.000 0.974 0.010
Cr 0.000 0.526 0.490
Cu 0.500 0.250 0.250
W 0.500 0.750 0.750



DFT (GGA-PBE) results for CrCuW after structural relaxation.

Output
Space group: Fmm2, No. 42
Offset from the most stable computed form (meV per atom): 0.0
Formation energy (kJ/mol of formula units): 92.4

Lattice parameters (Å, degrees): 6.588 6.448 2.600 81.52 75.50 22.98
Atoms (fractional coordinates):
Cr 0.997 0.997 0.003
Cu 0.338 0.338 0.662
W 0.665 0.665 0.335



DFT (GGA-PBE) results for CrCuW2 after structural relaxation.

Output
Space group: I4/mmm, No. 139
Offset from the most stable computed form (meV per atom): 103.5
Formation energy (kJ/mol of formula units): 133.1

Lattice parameters (Å, degrees): 4.546 4.546 4.546 128.30 128.30 76.15
Atoms (fractional coordinates):
Cr 0.250 0.750 0.500
Cu 0.750 0.250 0.500
W 0.000 0.000 0.000
W 0.500 0.500 0.000



DFT (GGA-PBE) results for CrCuW2 after structural relaxation.

Output
Space group: P4/mmm, No. 123
Offset from the most stable computed form (meV per atom): 161.3
Formation energy (kJ/mol of formula units): 155.4

Lattice parameters (Å, degrees): 2.644 2.644 8.218 90.00 90.00 90.00
Atoms (fractional coordinates):
Cr 0.500 0.500 0.250
Cu 0.500 0.500 0.750
W 0.000 0.000 0.999
W 0.000 0.000 0.501



Table of E_tot (eV for the cell shown), in record order: -25.65 -34.91 -35.06 -25.71 -38.25 -38.02